Li2AcSn | PBE-GGA | optimized geometry

## Properties
Polymorph energy (0 for the lowest one) (eV per formula unit): 0.04
Energy relative to the elements (eV per atom): -0.40
N(E_F) (states/eV/f.u.): 2.79
SG: No. 62

Lattice parameters (Å, degrees): 9.2133 7.0723 6.3382 90.00 90.00 90.00
Closest atoms and distances in Å follow each position.
Element x y z (fractional)
Li: 0.1720 0.0611 0.1148  1 Li 2.67, 3 Sn 2.83-2.90
Li: 0.1720 0.4389 0.1148  1 Li 2.67, 3 Sn 2.83-2.90
Li: 0.3280 0.5611 0.6148  1 Li 2.67, 3 Sn 2.83-2.90
Li: 0.3280 0.9389 0.6148  1 Li 2.67, 3 Sn 2.83-2.90
Li: 0.6720 0.0611 0.3852  1 Li 2.67, 3 Sn 2.83-2.90
Li: 0.6720 0.4389 0.3852  1 Li 2.67, 3 Sn 2.83-2.90
Li: 0.8280 0.5611 0.8852  1 Li 2.67, 3 Sn 2.83-2.90
Li: 0.8280 0.9389 0.8852  1 Li 2.67, 3 Sn 2.83-2.90
Ac: 0.0566 0.2500 0.6337  8 Li 3.33-3.71, 3 Sn 3.41-3.61
Ac: 0.4434 0.7500 0.1337  8 Li 3.33-3.71, 3 Sn 3.41-3.61
Ac: 0.5566 0.2500 0.8663  8 Li 3.33-3.71, 3 Sn 3.41-3.61
Ac: 0.9434 0.7500 0.3663  8 Li 3.33-3.71, 3 Sn 3.41-3.61
Sn: 0.1069 0.7500 0.8492  6 Li 2.83-2.90
Sn: 0.3931 0.2500 0.3492  6 Li 2.83-2.90
Sn: 0.6069 0.7500 0.6508  6 Li 2.83-2.90
Sn: 0.8931 0.2500 0.1508  6 Li 2.83-2.90